# 1
PBE Cu5HgO8, optimized geometry; ΔE_f (raw) = -346 meV/atom; DFT total energy = -4.664 eV/atom
1.0
6.054 0.000 0.000
3.027 5.243 0.000
3.027 1.748 4.943
O Cu Hg
8 5 1
Direct
0.396 0.396 0.813
0.813 0.396 0.396
0.864 0.407 0.864
0.864 0.864 0.864
0.396 0.396 0.396
0.864 0.864 0.407
0.396 0.813 0.396
0.407 0.864 0.864
0.626 0.626 0.121
0.121 0.626 0.626
0.626 0.626 0.626
0.626 0.121 0.626
0.000 0.000 0.000
0.250 0.250 0.250


# 2
PBE CuHg3O4, optimized geometry; ΔE_f (raw) = -153 meV/atom; DFT total energy = -3.257 eV/atom
1.0
6.117 0.138 -1.495
-2.893 5.392 1.495
-3.997 -1.375 4.670
O Hg Cu
4 3 1
Direct
0.728 0.210 0.519
0.019 0.689 0.708
0.019 0.311 0.330
0.309 0.790 0.519
0.519 0.776 0.295
0.519 0.224 0.743
0.019 0.000 0.019
0.019 0.500 0.519


# 3
PBE Cu2HgOsO6, optimized geometry; ΔE_f (raw) = -558 meV/atom; DFT total energy = -5.505 eV/atom
1.0
7.801 -0.951 -0.987
1.680 6.301 -0.687
1.680 -0.920 6.271
O Cu Os Hg
12 4 2 2
Direct
0.934 0.821 0.176
0.566 0.824 0.179
0.066 0.179 0.824
0.714 0.203 0.094
0.786 0.906 0.797
0.286 0.797 0.906
0.101 0.625 0.576
0.399 0.424 0.375
0.601 0.576 0.625
0.214 0.094 0.203
0.899 0.375 0.424
0.434 0.176 0.821
0.155 0.362 0.386
0.845 0.638 0.614
0.655 0.386 0.362
0.345 0.614 0.638
0.250 0.085 0.915
0.750 0.915 0.085
0.250 0.736 0.264
0.750 0.264 0.736


# 4
PBE CuHgP2O8, optimized geometry; ΔE_f (raw) = -1213 meV/atom; DFT total energy = -5.787 eV/atom
1.0
-0.223 2.116 -4.145
-3.993 0.005 -2.401
-3.393 7.003 1.138
O Hg P Cu
8 1 2 1
Direct
0.733 0.033 0.837
0.188 0.188 0.437
0.267 0.967 0.163
0.033 0.397 0.837
0.967 0.603 0.163
0.603 0.267 0.163
0.397 0.733 0.837
0.812 0.812 0.563
0.500 0.500 0.500
0.742 0.742 0.775
0.258 0.258 0.225
0.000 0.000 0.000


# 5
PBE CuHgPO2, optimized geometry; ΔE_f (raw) = 280 meV/atom; offset from the most stable computed form = 0 meV per atom; DFT total energy = -3.665 eV/atom
1.0
3.779 0.000 0.000
0.000 3.779 0.000
0.000 0.000 4.973
P O Cu Hg
1 2 1 1
Direct
0.000 0.000 0.500
0.000 0.500 0.000
0.500 0.000 0.000
0.000 0.000 0.000
0.500 0.500 0.500


# 6
PBE CuHgPO4, optimized geometry; ΔE_f (raw) = -1314 meV/atom; DFT total energy = -5.549 eV/atom
1.0
-3.134 2.539 -3.420
-4.502 1.234 2.485
0.143 8.207 1.846
O P Hg Cu
8 2 2 2
Direct
0.538 0.538 0.746
0.797 0.797 0.457
0.383 0.995 0.278
0.203 0.203 0.543
0.005 0.617 0.722
0.462 0.462 0.254
0.617 0.005 0.722
0.995 0.383 0.278
0.733 0.733 0.656
0.267 0.267 0.344
0.946 0.946 0.877
0.054 0.054 0.123
0.646 0.646 0.336
0.354 0.354 0.664


# 7
PBE CuHgPO2, optimized geometry; ΔE_f (raw) = 977 meV/atom; offset from the most stable computed form = 697 meV per atom; DFT total energy = -2.968 eV/atom
1.0
-2.869 -1.599 -2.357
2.053 -3.480 -0.138
-2.622 -1.720 4.358
O P Hg Cu
2 1 1 1
Direct
0.000 0.500 0.000
0.500 0.000 0.000
0.000 0.000 0.500
0.000 0.000 0.000
0.500 0.500 0.500


# 8
PBE CuHgP2O6, optimized geometry; ΔE_f (raw) = -1520 meV/atom; DFT total energy = -6.017 eV/atom
1.0
4.847 0.128 0.133
1.779 7.640 0.924
1.779 0.641 7.669
O Hg P Cu
12 2 4 2
Direct
0.809 0.078 0.311
0.609 0.186 0.610
0.891 0.390 0.814
0.518 0.610 0.672
0.018 0.672 0.610
0.191 0.922 0.689
0.309 0.311 0.078
0.391 0.814 0.390
0.109 0.610 0.186
0.982 0.328 0.390
0.482 0.390 0.328
0.691 0.689 0.922
0.750 0.071 0.929
0.250 0.929 0.071
0.722 0.227 0.410
0.278 0.773 0.590
0.222 0.410 0.227
0.778 0.590 0.773
0.250 0.226 0.774
0.750 0.774 0.226


# 9
PBE PaCu2HgO6, optimized geometry; ΔE_f (raw) = -1449 meV/atom; DFT total energy = -6.223 eV/atom
1.0
5.460 -0.943 -0.979
0.591 6.792 0.700
0.591 0.448 6.814
Hg O Cu Pa
2 12 4 2
Direct
0.250 0.927 0.073
0.750 0.073 0.927
0.907 0.978 0.265
0.093 0.022 0.735
0.012 0.620 0.116
0.586 0.554 0.666
0.414 0.446 0.334
0.512 0.116 0.620
0.988 0.380 0.884
0.914 0.334 0.446
0.407 0.265 0.978
0.593 0.735 0.022
0.086 0.666 0.554
0.488 0.884 0.380
0.278 0.904 0.581
0.722 0.096 0.419
0.778 0.581 0.904
0.222 0.419 0.096
0.750 0.639 0.361
0.250 0.360 0.640


# 10
PBE PaCuHgO5, optimized geometry; ΔE_f (raw) = -1638 meV/atom; DFT total energy = -6.473 eV/atom
1.0
-4.782 1.182 2.913
1.285 -5.542 0.626
5.813 3.518 5.078
Hg O Pa Cu
2 10 2 2
Direct
0.319 0.681 0.250
0.681 0.319 0.750
0.905 0.095 0.750
0.784 0.188 0.091
0.664 0.632 0.393
0.812 0.216 0.409
0.095 0.905 0.250
0.368 0.336 0.107
0.188 0.784 0.591
0.216 0.812 0.909
0.632 0.664 0.893
0.336 0.368 0.607
0.000 0.000 0.000
0.000 0.000 0.500
0.341 0.659 0.750
0.659 0.341 0.250


# 11
PBE PaCu2HgO8, optimized geometry; ΔE_f (raw) = -898 meV/atom; DFT total energy = -5.702 eV/atom
1.0
-4.397 3.819 -1.310
-2.003 -5.623 -0.038
2.092 1.264 5.446
O Cu Pa Hg
8 2 1 1
Direct
0.941 0.253 0.311
0.295 0.126 0.831
0.941 0.630 0.689
0.747 0.059 0.689
0.295 0.464 0.169
0.536 0.705 0.831
0.370 0.059 0.311
0.874 0.705 0.169
0.750 0.250 0.500
0.500 0.500 0.000
0.000 0.000 0.000
0.250 0.750 0.500


# 12
PBE PaCuHgO6, optimized geometry; ΔE_f (raw) = -1259 meV/atom; DFT total energy = -6.109 eV/atom
1.0
-2.289 3.568 -1.955
-3.086 0.434 4.406
4.617 2.773 -0.345
O Pa Hg Cu
6 1 1 1
Direct
0.741 0.686 0.703
0.259 0.017 0.703
0.741 0.017 0.314
0.259 0.297 0.314
0.259 0.686 0.983
0.741 0.297 0.983
0.000 0.333 0.667
0.500 0.667 0.333
0.500 0.000 0.000


# 13
PBE PaCuHg2O8, optimized geometry; ΔE_f (raw) = -734 meV/atom; DFT total energy = -5.223 eV/atom
1.0
-5.445 -2.344 1.611
2.245 -5.378 -1.944
3.180 3.028 4.295
O Cu Pa Hg
8 1 1 2
Direct
0.348 0.038 0.311
0.962 0.273 0.311
0.727 0.038 0.689
0.529 0.734 0.795
0.266 0.471 0.205
0.938 0.734 0.205
0.266 0.062 0.795
0.962 0.652 0.689
0.250 0.750 0.500
0.000 0.000 0.000
0.750 0.250 0.500
0.500 0.500 0.000


# 14
PBE CuHgPbO4, optimized geometry; ΔE_f (raw) = -572 meV/atom; DFT total energy = -4.564 eV/atom
1.0
5.961 0.000 0.000
-2.981 6.119 -0.161
0.000 -3.446 5.668
Hg O Cu Pb
2 8 2 2
Direct
0.828 0.656 0.078
0.172 0.344 0.922
0.250 0.983 0.242
0.278 0.557 0.721
0.267 0.017 0.758
0.278 0.557 0.335
0.722 0.443 0.665
0.722 0.443 0.279
0.750 0.017 0.758
0.733 0.983 0.242
0.000 0.500 0.500
0.500 0.500 0.500
0.500 0.000 0.500
0.500 0.000 0.000


# 15
PBE CuHg2Pt2O6, optimized geometry; ΔE_f (raw) = -383 meV/atom; DFT total energy = -4.613 eV/atom
1.0
5.393 0.007 -0.254
-2.659 4.692 -0.254
-1.330 -2.286 7.428
Pt O Hg Cu
2 6 2 1
Direct
0.334 0.666 0.500
0.666 0.334 0.500
0.251 0.251 0.364
0.749 0.749 0.636
0.915 0.582 0.364
0.582 0.915 0.364
0.085 0.418 0.636
0.418 0.085 0.636
0.740 0.260 0.000
0.260 0.740 0.000
0.000 0.000 0.500


# 16
PBE PuCuHgO6, optimized geometry; ΔE_f (raw) = -1194 meV/atom; DFT total energy = -6.581 eV/atom
1.0
5.273 0.000 0.000
-2.637 4.567 0.000
0.000 0.000 10.140
O Pu Cu Hg
12 2 2 2
Direct
0.002 0.642 0.860
0.640 0.642 0.640
0.358 0.360 0.860
0.998 0.640 0.360
0.358 0.998 0.640
0.640 0.998 0.860
0.002 0.360 0.640
0.998 0.358 0.140
0.360 0.358 0.360
0.642 0.002 0.360
0.360 0.002 0.140
0.642 0.640 0.140
0.667 0.333 0.250
0.333 0.667 0.750
0.667 0.333 0.750
0.333 0.667 0.250
0.000 0.000 0.500
0.000 0.000 0.000


# 17
PBE PuCuHg2O6, optimized geometry; ΔE_f (raw) = -1159 meV/atom; DFT total energy = -6.037 eV/atom
1.0
-4.520 0.714 4.209
1.197 -0.678 5.149
-0.975 5.192 3.926
O Hg Cu Pu
6 2 1 1
Direct
0.991 0.498 0.733
0.204 0.961 0.289
0.964 0.552 0.275
0.668 0.080 0.828
0.428 0.671 0.814
0.641 0.135 0.370
0.580 0.653 0.285
0.052 0.979 0.818
0.316 0.316 0.052
0.816 0.816 0.552


# 18
PBE PuCuHgO4, optimized geometry; ΔE_f (raw) = -1475 meV/atom; DFT total energy = -6.984 eV/atom
1.0
-4.337 3.944 -0.589
1.481 -3.619 -5.678
-3.404 -2.978 5.124
Cu Pu O Hg
2 2 8 2
Direct
0.000 0.500 0.500
0.500 0.500 0.500
0.500 0.000 0.500
0.500 0.000 0.000
0.707 0.965 0.233
0.289 0.579 0.345
0.259 0.965 0.233
0.711 0.421 0.267
0.741 0.035 0.767
0.711 0.421 0.655
0.293 0.035 0.767
0.289 0.579 0.733
0.183 0.367 0.933
0.817 0.633 0.067


# 19
PBE PuCu2HgO6, optimized geometry; ΔE_f (raw) = -1153 meV/atom; DFT total energy = -6.411 eV/atom
1.0
-3.745 -3.758 -2.490
2.087 -2.137 -7.260
1.566 -7.516 1.641
Cu O Pu Hg
4 12 2 2
Direct
0.851 0.676 0.751
0.149 0.324 0.249
0.351 0.751 0.676
0.649 0.249 0.324
0.768 0.443 0.288
0.232 0.557 0.712
0.732 0.712 0.557
0.378 0.834 0.390
0.822 0.996 0.219
0.622 0.166 0.610
0.878 0.390 0.834
0.678 0.781 0.004
0.322 0.219 0.996
0.268 0.288 0.443
0.178 0.004 0.781
0.122 0.610 0.166
0.250 0.276 0.724
0.750 0.724 0.276
0.250 0.905 0.095
0.750 0.095 0.905